# Ho2SeN

Ho2SeN after structural relaxation (PBE, Alexandria via LeMat-Bulk). Values from VASP.

Computed properties:
- E_tot (eV per atom) = -6.9222
- formation energy from raw total energies (eV/atom) = -1.681
- ρ (g/cm³) = 9.347

Quantum ESPRESSO input file:
```
&SYSTEM
  ibrav = 0, nat = 4, ntyp = 3
/
ATOMIC_SPECIES
N 14.01 N.upf
Se 78.96 Se.upf
Ho 164.93 Ho.upf
CELL_PARAMETERS angstrom
-2.646 -0.993 -2.275
0.822 -1.231 -3.313
-0.327 -6.888 0.492
ATOMIC_POSITIONS angstrom
N -1.545 -8.313 -3.256
Se -1.075 -4.571 -2.542
Ho -0.381 -5.698 0.036
Ho -0.552 -1.974 -1.390
```